No. 1
Below is crystalline Tb2Y6Se3 at its relaxed geometry, with properties calculated at the PBE-GGA level.

The structure belongs to space group R-3m (No. 166, hexagonal axes); the cell edges are 3.8119, 3.8119 and 75.6470 Å and the angles 90.00°, 90.00° and 120.00°. The inequivalent atoms are Tb at (0.0000, 0.0000, 0.0562), Y at (0.0000, 0.0000, 0.1423), Y at (0.0000, 0.0000, 0.3148), Y at (0.0000, 0.0000, 0.4269), Se at (0.0000, 0.0000, 0.2148) and Se at (0.0000, 0.0000, 0.5000).

The value obtained for the density of states at the Fermi level is 35.142 states/eV per cell. Its formation energy from raw total energies is -0.90 eV per atom.

No. 2
Below is crystalline Tb3Y2Se4 at its relaxed geometry, with properties calculated at the PBE-GGA level.

The structure belongs to space group C2/m (No. 12); the cell edges are 6.920, 3.996 and 16.768 Å and the angles 90.00°, 90.02° and 90.00°. The inequivalent atoms are Tb at (0.000, 0.000, 0.000), Tb at (0.166, 0.500, 0.584), Y at (0.167, 0.500, 0.208), Se at (0.001, 0.000, 0.309) and Se at (0.166, 0.500, 0.896).

The value obtained for the density of states at the Fermi level is 12.501 states/eV per cell. Its formation energy from raw total energies is -1.55 eV per atom.

No. 3
Below is crystalline Tb2Y3Se4 at its relaxed geometry, with properties calculated at the PBE-GGA level.

The structure belongs to space group C2/m (No. 12); the cell edges are 6.923, 3.998 and 16.720 Å and the angles 90.00°, 90.02° and 90.00°. The inequivalent atoms are Tb at (0.167, 0.000, 0.208), Y at (0.000, 0.500, 0.000), Y at (0.166, 0.000, 0.584), Se at (0.001, 0.500, 0.310) and Se at (0.166, 0.000, 0.897).

The value obtained for the density of states at the Fermi level is 12.101 states/eV per cell. Its formation energy from raw total energies is -1.57 eV per atom.